The following is a GGA+U calculation of KWO2 after structural relaxation, from Alexandria.

Lattice parameters (Å, degrees): 3.3867 3.3867 20.2746 90.00 90.00 120.00
Space group R-3m (No. 166, hexagonal axes)
Unique sites:
1 K 0.0000 0.0000 0.0000 (multiplicity 3)
2 W 0.0000 0.0000 0.5000 (multiplicity 3)
3 O 0.0000 0.0000 0.1194 (multiplicity 6)

Properties
energy relative to the lowest polymorph listed for this composition	0	meV/atom
crystal system	trigonal